An optimized crystal structure of TaFe, computed with PBE.

Lattice parameters (Å, degrees): 18.1882 18.1882 18.1882 15.51 15.51 15.51
Last column: nearest neighbours and their distance in Å.
Fractional coordinates of all 26 atoms:
Ta  0.7739  0.7739  0.7739  2 Ta 2.64-2.82, 6 Fe 2.68
Ta  0.2752  0.2752  0.2752  2 Ta 2.64-2.80, 6 Fe 2.70
Ta  0.7248  0.7248  0.7248  2 Ta 2.64-2.80, 6 Fe 2.70
Ta  0.2261  0.2261  0.2261  2 Ta 2.64-2.82, 6 Fe 2.68
Ta  0.8262  0.8262  0.8262  7 Ta 2.82-2.94, 9 Fe 2.86-3.01
Ta  0.3270  0.3270  0.3270  12 Fe 2.74-2.96, 4 Ta 2.80-2.91
Ta  0.6730  0.6730  0.6730  12 Fe 2.74-2.96, 4 Ta 2.80-2.91
Ta  0.1738  0.1738  0.1738  7 Ta 2.82-2.94, 9 Fe 2.86-3.01
Ta  0.4160  0.4160  0.4160  6 Fe 2.81-2.83, 9 Ta 2.83-3.13
Ta  0.9178  0.9178  0.9178  6 Fe 2.80-2.81, 6 Ta 2.83-3.11
Ta  0.0822  0.0822  0.0822  6 Fe 2.80-2.81, 6 Ta 2.83-3.11
Ta  0.5840  0.5840  0.5840  6 Fe 2.81-2.83, 9 Ta 2.83-3.13
Ta  0.5000  0.5000  0.5000  6 Fe 2.57, 6 Ta 2.86
Fe  0.7041  0.2037  0.2037  5 Fe 2.45-2.46, 3 Ta 2.70-2.74
Fe  0.1974  0.7103  0.7103  4 Fe 2.39-2.52, 1 Ta 2.57
Fe  0.2037  0.7041  0.2037  5 Fe 2.45-2.46, 3 Ta 2.70-2.74
Fe  0.7103  0.1974  0.7103  4 Fe 2.39-2.52, 1 Ta 2.57
Fe  0.2037  0.2037  0.7041  5 Fe 2.45-2.46, 3 Ta 2.70-2.74
Fe  0.7103  0.7103  0.1974  4 Fe 2.39-2.52, 1 Ta 2.57
Fe  0.8026  0.2897  0.2897  4 Fe 2.39-2.52, 1 Ta 2.57
Fe  0.2959  0.7963  0.7963  5 Fe 2.45-2.46, 3 Ta 2.70-2.74
Fe  0.2897  0.8026  0.2897  4 Fe 2.39-2.52, 1 Ta 2.57
Fe  0.7963  0.2959  0.7963  5 Fe 2.45-2.46, 3 Ta 2.70-2.74
Fe  0.2897  0.2897  0.8026  4 Fe 2.39-2.52, 1 Ta 2.57
Fe  0.7963  0.7963  0.2959  5 Fe 2.45-2.46, 3 Ta 2.70-2.74
Fe  0.0000  0.0000  0.0000  6 Fe 2.45

SG: R-3m (166)
Uncorrected energy, eV/cell: -268.89
Total magnetic moment, μB/f.u.: 0.23

---

An optimized crystal structure of TaFe, computed with PBE.

Lattice parameters (Å, degrees): 4.8121 4.9426 9.6830 90.00 90.00 90.00
Last column: nearest neighbours and their distance in Å.
Fractional coordinates of all 16 atoms:
Ta  0.8661  0.0910  0.4858  5 Fe 2.45-2.66
Ta  0.3661  0.4090  0.5142  5 Fe 2.45-2.66
Ta  0.1339  0.5910  0.0142  5 Fe 2.45-2.66
Ta  0.6339  0.9090  0.9858  5 Fe 2.45-2.66
Ta  0.3616  0.8861  0.3042  6 Fe 2.49-2.78
Ta  0.8616  0.6139  0.6958  6 Fe 2.49-2.78
Ta  0.6384  0.3861  0.1958  6 Fe 2.49-2.78
Ta  0.1384  0.1139  0.8042  6 Fe 2.49-2.78
Fe  0.3484  0.8946  0.5617  2 Fe 2.40-2.45, 4 Ta 2.45-2.62
Fe  0.8484  0.6054  0.4383  2 Fe 2.40-2.45, 4 Ta 2.45-2.62
Fe  0.6516  0.3946  0.9383  2 Fe 2.40-2.45, 4 Ta 2.45-2.62
Fe  0.1516  0.1054  0.0617  2 Fe 2.40-2.45, 4 Ta 2.45-2.62
Fe  0.1357  0.3903  0.2686  2 Fe 2.40-2.45, 4 Ta 2.49-2.66
Fe  0.6357  0.1097  0.7314  2 Fe 2.40-2.45, 4 Ta 2.49-2.66
Fe  0.8643  0.8903  0.2314  2 Fe 2.40-2.45, 4 Ta 2.49-2.66
Fe  0.3643  0.6097  0.7686  2 Fe 2.40-2.45, 4 Ta 2.49-2.66

SG: P2_12_12_1 (19)
Uncorrected energy, eV/cell: -164.02
Total magnetic moment, μB/f.u.: 0.00

---

Among the records above, which one has the highest uncorrected energy?
number 2